# LaPr6NdDy2 PBE-GGA relaxed
# * total moment: 0.00 μB per formula unit
# * density of states at the Fermi level: 59.30 states/eV/cell
# * energy of formation: 1.08 eV/f.u.
data_LaPr6NdDy2
_symmetry_space_group_name_H-M 'C 1 2/c 1'
_symmetry_Int_Tables_number 15
_symmetry_space_group_name_Hall '-C 2yc'
_cell_length_a 9.404
_cell_length_b 15.447
_cell_length_c 9.922
_cell_angle_alpha 90.00
_cell_angle_beta 98.17
_cell_angle_gamma 90.00
loop_
_atom_site_label
_atom_site_fract_x
_atom_site_fract_y
_atom_site_fract_z
_atom_site_occupancy
La1 0.000 0.095 0.250 1
Pr1 0.067 0.324 0.444 1
Pr2 0.096 0.106 0.620 1
Pr3 0.208 0.274 0.818 1
Nd1 0.000 0.470 0.750 1
Dy1 0.243 0.452 0.047 1